A relaxed SrSi3Rh3 crystal. Source: Alexandria, functional PBE.

## Properties
For the formation energy without anion corrections, the calculation gives -0.538 eV per atom. Its magnetization is 0.000 μB/cell.

```
SrSi3Rh3
1.0
4.199 0.000 0.000
0.000 7.622 -4.352
0.000 -0.043 8.776
Si Sr Rh
6 2 6
Cartesian
1.050 0.469 5.956
3.149 2.698 -0.967
1.050 4.881 5.392
3.149 5.393 2.571
1.050 2.186 1.853
3.149 7.110 -1.532
3.149 2.512 4.400
1.050 5.067 0.024
3.149 4.851 -2.296
3.149 3.166 1.371
1.050 0.395 3.427
3.149 7.184 0.997
1.050 4.414 3.053
1.050 2.728 6.720
```